{
  "formula": "Y2AlTl",
  "functional": "GGA-PBEsol",
  "state": "optimized geometry",
  "lattice_angstrom": [[3.645, 0.000, 0.000], [0.000, 5.064, 0.006], [0.000, -2.452, 5.736]],
  "species": ["Y", "Y", "Tl", "Al"],
  "frac_coords": [[0.000, 0.000, 0.000], [0.500, 0.500, 0.500], [0.000, 0.000, 0.500], [0.500, 0.500, 0.000]],
  "n_ef_per_ev_atom": 0.66,
  "e_tot_ev_per_atom": -5.334,
  "formation_enthalpy_0k_mev_per_atom": -242.7
}